(1)
{"formula": "Sc3Zn5", "functional": "PBE", "state": "relaxed", "lattice": [[-0.2708, -4.7149, -3.2676], [-3.0782, -3.9335, 2.8342], [-3.7888, 1.5646, -1.9436]], "species": ["Zn", "Zn", "Sc", "Zn", "Sc", "Zn", "Zn", "Sc"], "fractional_positions": [[0.0000, 0.5000, 0.0000], [0.2551, 0.7449, 0.5000], [0.7673, 0.7673, 0.5000], [0.7449, 0.2551, 0.5000], [0.5000, 0.5000, 0.0000], [0.5000, 0.0000, 0.0000], [0.0000, 0.0000, 0.0000], [0.2327, 0.2327, 0.5000]], "e_above_lowest_polymorph_kj_per_mol_fu": 17, "e_tot_ev_per_cell": -27.835, "sg": "Cmmm", "n_ef_per_ev_cell": 4.20}

=====

(2)
{"formula": "ScZnOs2", "functional": "PBE", "state": "relaxed", "lattice": [[-0.7365, 2.8316, -0.8763], [-4.3497, -0.6385, 1.5926], [1.1933, 1.5058, 3.8627]], "species": ["Os", "Os", "Sc", "Zn"], "fractional_positions": [[0.5000, 0.5000, 0.0000], [0.0000, 0.0000, 0.0000], [0.5000, 0.0000, 0.5000], [0.0000, 0.5000, 0.5000]], "e_tot_ev_per_cell": -29.962, "sg": "Pmmm", "n_ef_per_ev_cell": 3.28}

=====

(3)
{"formula": "ReTeWI", "functional": "PBE", "state": "relaxed", "lattice": [[3.2346, 0.0000, 0.0009], [0.0000, 3.2367, 0.0000], [-3.1783, 0.0000, 18.8344]], "species": ["Te", "Te", "Re", "I", "W", "Re", "W", "I"], "fractional_positions": [[0.1755, 0.0000, 0.4140], [0.1755, 0.5000, 0.9140], [0.5732, 0.0000, 0.2947], [0.8604, 0.0000, 0.1026], [0.9713, 0.5000, 0.2231], [0.5732, 0.5000, 0.7947], [0.9713, 0.0000, 0.7231], [0.8604, 0.5000, 0.6026]], "formation_energy_uncorrected_ev_per_atom": 0.413, "e_above_lowest_polymorph_kj_per_mol_fu": 22, "e_tot_ev_per_cell": -56.886, "sg": "Cm", "n_ef_per_ev_cell": 6.10}

=====

Please write out number 3 again, unchanged.
{"formula": "ReTeWI", "functional": "PBE", "state": "relaxed", "lattice": [[3.2346, 0.0000, 0.0009], [0.0000, 3.2367, 0.0000], [-3.1783, 0.0000, 18.8344]], "species": ["Te", "Te", "Re", "I", "W", "Re", "W", "I"], "fractional_positions": [[0.1755, 0.0000, 0.4140], [0.1755, 0.5000, 0.9140], [0.5732, 0.0000, 0.2947], [0.8604, 0.0000, 0.1026], [0.9713, 0.5000, 0.2231], [0.5732, 0.5000, 0.7947], [0.9713, 0.0000, 0.7231], [0.8604, 0.5000, 0.6026]], "formation_energy_uncorrected_ev_per_atom": 0.413, "e_above_lowest_polymorph_kj_per_mol_fu": 22, "e_tot_ev_per_cell": -56.886, "sg": "Cm", "n_ef_per_ev_cell": 6.10}

=====

Copy entry 2 word for word.
{"formula": "ScZnOs2", "functional": "PBE", "state": "relaxed", "lattice": [[-0.7365, 2.8316, -0.8763], [-4.3497, -0.6385, 1.5926], [1.1933, 1.5058, 3.8627]], "species": ["Os", "Os", "Sc", "Zn"], "fractional_positions": [[0.5000, 0.5000, 0.0000], [0.0000, 0.0000, 0.0000], [0.5000, 0.0000, 0.5000], [0.0000, 0.5000, 0.5000]], "e_tot_ev_per_cell": -29.962, "sg": "Pmmm", "n_ef_per_ev_cell": 3.28}

=====

Question: Which formula does entry 1 have?
Answer: Sc3Zn5